Record 1
{
  "formula": "Cu2Re",
  "functional": "PBE",
  "state": "relaxed",
  "polymorph_energy_ev_per_atom": 0.105,
  "m_tot_mub_per_atom": 0.000,
  "space_group": "Pnma",
  "crystal_system": "orthorhombic",
  "energy_ev_per_fu": -19.8,
  "delta_e_f_ev_per_atom": 0.29,
  "cell": [[5.304, 0.000, 0.000], [0.000, 3.783, 0.000], [0.000, 0.000, 7.944]],
  "species": ["Cu", "Cu", "Cu", "Cu", "Cu", "Cu", "Cu", "Cu", "Re", "Re", "Re", "Re"],
  "fractional_positions": [[0.106, 0.250, 0.088], [0.127, 0.250, 0.757], [0.373, 0.750, 0.257], [0.394, 0.750, 0.588], [0.606, 0.250, 0.412], [0.627, 0.250, 0.743], [0.873, 0.750, 0.243], [0.894, 0.750, 0.912], [0.103, 0.250, 0.429], [0.397, 0.750, 0.929], [0.603, 0.250, 0.071], [0.897, 0.750, 0.571]]
}

=====

Record 2
{
  "formula": "MgInBi",
  "functional": "PBE",
  "state": "relaxed",
  "m_tot_mub_per_atom": 0.000,
  "space_group": "P3m1",
  "crystal_system": "trigonal",
  "energy_ev_per_fu": -8.2,
  "delta_e_f_ev_per_atom": 0.00,
  "cell": [[5.344, 0.000, 0.000], [-2.672, 4.628, 0.000], [0.000, 0.000, 3.405]],
  "species": ["Mg", "In", "Bi"],
  "fractional_positions": [[0.000, 0.000, 0.000], [0.667, 0.333, 0.577], [0.333, 0.667, 0.148]]
}

=====

Record 3
{
  "formula": "BeZn2Cl",
  "functional": "PBE",
  "state": "relaxed",
  "raw_formation_energy_mev_per_atom": 310,
  "polymorph_energy_ev_per_atom": 0.403,
  "m_tot_mub_per_atom": 0.000,
  "space_group": "C2/m",
  "crystal_system": "monoclinic",
  "energy_ev_per_fu": -6.9,
  "cell": [[2.544, -4.157, 0.000], [2.544, 4.157, 0.000], [-1.132, 0.000, 3.114]],
  "species": ["Be", "Zn", "Zn", "Cl"],
  "fractional_positions": [[0.000, 0.000, 0.000], [0.000, 0.500, 0.500], [0.500, 0.000, 0.500], [0.500, 0.500, 0.000]]
}

=====

Record 4
{
  "formula": "Ba4CaCu2CO9",
  "functional": "PBE",
  "state": "relaxed",
  "raw_formation_energy_mev_per_atom": -2076,
  "m_tot_mub_per_atom": 0.000,
  "space_group": "Amm2",
  "crystal_system": "orthorhombic",
  "energy_ev_per_fu": -107.0,
  "cell": [[8.297, 0.000, 0.000], [0.000, 4.065, 4.196], [0.000, -4.065, 4.196]],
  "species": ["Ba", "Ba", "Ba", "Ba", "Ca", "Cu", "Cu", "C", "O", "O", "O", "O", "O", "O", "O", "O", "O"],
  "fractional_positions": [[0.233, 0.248, 0.752], [0.233, 0.752, 0.248], [0.767, 0.248, 0.752], [0.767, 0.752, 0.248], [0.000, 0.746, 0.746], [0.000, 0.249, 0.249], [0.500, 0.733, 0.733], [0.500, 0.228, 0.228], [0.000, 0.023, 0.475], [0.000, 0.025, 0.025], [0.000, 0.472, 0.472], [0.000, 0.475, 0.023], [0.281, 0.736, 0.736], [0.363, 0.303, 0.303], [0.500, 0.072, 0.072], [0.637, 0.303, 0.303], [0.719, 0.736, 0.736]]
}